Entry from the Alexandria database: a relaxed ScH3Ru crystal (PBE).

Calculated values
Calculated volume   8.7 Å³/atom
Energy   -5.526 eV per atom

Unit cell a=3.5175 b=3.5175 c=3.5175 alpha=90.00 beta=90.00 gamma=90.00
Fractional positions:
Sc 0.0000 0.0000 0.0000
H 0.0000 0.5000 0.5000
H 0.5000 0.0000 0.5000
H 0.5000 0.5000 0.0000
Ru 0.5000 0.5000 0.5000

Entry from the Alexandria database: a relaxed ScH2Ru crystal (PBE).

Calculated values
Calculated volume   10.4 Å³/atom
Energy   -5.891 eV per atom

Unit cell a=4.7754 b=4.7754 c=4.7754 alpha=40.61 beta=40.61 gamma=40.61
Fractional positions:
Sc 0.0000 0.0000 0.0000
H 0.3725 0.3725 0.3725
H 0.6275 0.6275 0.6275
Ru 0.5000 0.5000 0.5000

| no. | total moment (μB per formula unit) |
| --- | --- |
| 1 | 0.0 |
| 2 | 0.0 |